1.
Compound: CaAc3
Source: the Alexandria database
Functional: PBE-GGA
Structure: relaxed

Cell: 6.3196 6.3196 6.3196 Å, 60.00 60.00 60.00°
Last column: nearest neighbours and their distance in Å.
Fractional positions:
Ac 0.0000 0.0000 0.0000  8 Ac 3.87
Ca 0.5000 0.5000 0.5000  8 Ac 3.87
Ac 0.2500 0.2500 0.2500  4 Ac 3.87, 4 Ca 3.87
Ac 0.7500 0.7500 0.7500  4 Ca 3.87, 4 Ac 3.87

Summary:
As for the formation enthalpy at 0 K: 0.077 eV per atom.

=====

2.
Compound: PtRh2W
Source: the Alexandria database
Functional: PBE-GGA
Structure: relaxed

Cell: 2.7606 4.7893 4.8165 Å, 69.43 90.00 90.00°
Last column: nearest neighbours and their distance in Å.
Fractional positions:
Pt 0.0000 0.5000 0.5000  6 Rh 2.74-2.76, 2 Pt 2.76, 4 W 2.78
W 0.5000 0.5000 0.0000  6 Rh 2.74-2.76, 2 W 2.76, 4 Pt 2.78
Rh 0.5000 0.0000 0.5000  2 W 2.74, 6 Rh 2.76-2.78, 4 Pt 2.76
Rh 0.0000 0.0000 0.0000  2 Pt 2.74, 6 Rh 2.76-2.78, 4 W 2.76

Summary:
As for the formation enthalpy at 0 K: -0.138 eV per atom. As for the energy above the most stable polymorph in this dataset: 106 meV/atom.

=====

3.
Compound: MgHgPt2
Source: the Alexandria database
Functional: PBE-GGA
Structure: relaxed

Cell: 5.0963 5.0963 5.0963 Å, 133.47 133.46 67.92°
Last column: nearest neighbours and their distance in Å.
Fractional positions:
Pt 0.7499 0.2499 0.5000  4 Mg 2.85, 4 Hg 2.92, 4 Pt 2.92
Hg 0.5000 0.5000 0.0000  8 Pt 2.85-2.92, 4 Mg 2.92
Mg 0.2501 0.7501 0.5000  8 Pt 2.85-2.92, 4 Hg 2.92
Pt 0.0000 0.0000 0.0000  4 Hg 2.85, 4 Mg 2.92, 4 Pt 2.92

Summary:
As for the formation enthalpy at 0 K: -0.382 eV per atom.

=====

4.
Compound: Th2TcCl
Source: the Alexandria database
Functional: PBE-GGA
Structure: relaxed

Cell: 4.0919 4.0919 8.2270 Å, 75.60 75.60 60.00°
Last column: nearest neighbours and their distance in Å.
Fractional positions:
Th 0.2709 0.2709 0.1873  3 Tc 2.81
Th 0.0646 0.0646 0.8062  3 Tc 2.79
Tc 0.6686 0.6686 0.9943  6 Th 2.79-2.81
Cl 0.4959 0.4959 0.5122  6 Th 3.31-3.48

Summary:
The formation energy without anion corrections is -0.70 eV/atom. As for the energy above the most stable polymorph in this dataset: 28 meV/atom.

=====

5.
Compound: Pr2TeCl
Source: the Alexandria database
Functional: PBE-GGA
Structure: relaxed

Cell: 4.0645 4.0645 8.5366 Å, 76.23 76.23 60.00°
Last column: nearest neighbours and their distance in Å.
Fractional positions:
Pr 0.2484 0.2484 0.2548  3 Cl 3.08, 3 Te 3.13
Pr 0.0848 0.0848 0.7457  3 Cl 3.11, 3 Te 3.15
Cl 0.5008 0.5008 0.4978  6 Pr 3.08-3.11
Te 0.6661 0.6661 0.0017  6 Pr 3.13-3.15

Summary:
The formation energy without anion corrections is -1.31 eV/atom. As for the energy above the most stable polymorph in this dataset: 51 meV/atom.

=====

6.
Compound: HfNiHg
Source: the Alexandria database
Functional: PBE-GGA
Structure: relaxed

Cell: 4.5265 4.5265 6.1546 Å, 90.00 90.00 120.00°
Last column: nearest neighbours and their distance in Å.
Fractional positions:
Hg 0.0000 0.0000 0.2676  4 Ni 2.67-2.91, 3 Hg 2.91
Ni 0.6667 0.3333 0.4752  4 Hf 2.47-2.66
Hg 0.3333 0.6667 0.0606  5 Hf 2.85-3.12, 3 Hg 2.91
Hf 0.3333 0.6667 0.5543  6 Ni 2.66-2.77
Ni 0.0000 0.0000 0.7020  1 Hg 2.67, 6 Hf 2.77-2.83, 3 Ni 2.96
Hf 0.6667 0.3333 0.8763  1 Ni 2.47

Summary:
As for the formation enthalpy at 0 K: -0.135 eV per atom. As for the energy above the most stable polymorph in this dataset: 198 meV/atom.

=====

| no. | total DFT energy (no corrections) (eV per atom) |
| --- | --- |
| 1 | -3.5044 |
| 2 | -8.5619 |
| 3 | -3.8767 |
| 4 | -7.4589 |
| 5 | -4.9497 |
| 6 | -5.4804 |